Entry from Alexandria: a crystal of Re2TeAs relaxed with PBEsol (SCAN).

* formation energy without anion corrections: 0.636 eV per atom
* energy above the lowest structure with this stoichiometry: 382.8 meV per atom
* size of the total moment: 0.00 μB/cell

Lattice parameters (Å, degrees): 4.475 4.475 4.475 60.00 60.00 60.00
Element x y z (fractional)
Re (0.250, 0.250, 0.250)
Re (0.750, 0.750, 0.750)
As (0.000, 0.000, 0.000)
Te (0.500, 0.500, 0.500)

Entry from Alexandria: a crystal of SrIn2Cu relaxed with PBEsol (SCAN).

* size of the total moment: 0.00 μB/cell
* formation energy: -0.331 eV/atom

Lattice parameters (Å, degrees): 4.476 4.467 6.490 110.18 90.00 120.07
Element x y z (fractional)
Cu (0.500, 0.000, 0.000)
In (0.789, 0.577, 0.867)
In (0.211, 0.423, 0.133)
Sr (0.000, 0.000, 0.500)

Entry from Alexandria: a crystal of Mo2PbSe relaxed with PBEsol (SCAN).

* formation energy without anion corrections: 0.363 eV per atom
* energy above the lowest structure with this stoichiometry: 0.0 meV per atom
* size of the total moment: 0.00 μB/cell

Lattice parameters (Å, degrees): 3.196 4.763 5.538 102.32 90.00 109.60
Element x y z (fractional)
Mo (0.992, 0.984, 0.030)
Mo (0.274, 0.547, 0.804)
Pb (0.507, 0.014, 0.533)
Se (0.727, 0.454, 0.133)

Entry from Alexandria: a crystal of Ce4DyO9 relaxed with PBEsol (SCAN).

* formation energy without anion corrections: -3.781 eV per atom
* size of the total moment: 1.02 μB/cell

Lattice parameters (Å, degrees): 3.777 5.454 10.163 105.56 100.71 90.00
Each line ends with the local moment (μB).
Element x y z (fractional)
Ce (0.199, 0.192, 0.397)  0.27
Ce (0.395, 0.381, 0.789)  0.28
Ce (0.605, 0.592, 0.211)  0.28
Ce (0.801, 0.795, 0.603)  0.27
Dy (0.000, 0.046, 0.000)  0.00
O (0.303, 0.543, 0.606)  -0.02
O (0.917, 0.662, 0.833)  -0.01
O (0.083, 0.829, 0.167)  -0.01
O (0.298, 0.041, 0.597)  -0.02
O (0.896, 0.146, 0.793)  -0.02
O (0.697, 0.938, 0.394)  -0.02
O (0.500, 0.253, 0.000)  -0.01
O (0.104, 0.353, 0.207)  -0.02
O (0.702, 0.444, 0.403)  -0.02

Entry from Alexandria: a crystal of Pr2InCuSe5 relaxed with PBEsol (SCAN).

* formation energy without anion corrections: -1.420 eV per atom
* size of the total moment: 0.00 μB/cell

Lattice parameters (Å, degrees): 4.041 12.042 17.202 90.00 90.00 90.00
Element x y z (fractional)
Pr (0.750, 0.977, 0.679)
Pr (0.250, 0.023, 0.321)
Pr (0.250, 0.523, 0.179)
Pr (0.750, 0.477, 0.821)
Pr (0.750, 0.638, 0.596)
Pr (0.250, 0.362, 0.404)
Pr (0.250, 0.862, 0.096)
Pr (0.750, 0.138, 0.904)
In (0.750, 0.690, 0.363)
In (0.250, 0.310, 0.637)
In (0.250, 0.810, 0.863)
In (0.750, 0.190, 0.137)
Cu (0.750, 0.572, 0.996)
Cu (0.250, 0.428, 0.004)
Cu (0.250, 0.928, 0.496)
Cu (0.750, 0.072, 0.504)
Se (0.750, 0.900, 0.421)
Se (0.250, 0.100, 0.579)
Se (0.250, 0.600, 0.921)
Se (0.750, 0.400, 0.079)
Se (0.750, 0.681, 0.111)
Se (0.250, 0.319, 0.889)
Se (0.250, 0.819, 0.611)
Se (0.750, 0.181, 0.389)
Se (0.750, 0.740, 0.770)
Se (0.250, 0.260, 0.230)
Se (0.250, 0.760, 0.270)
Se (0.750, 0.240, 0.730)
Se (0.750, 0.895, 0.964)
Se (0.250, 0.105, 0.036)
Se (0.250, 0.605, 0.464)
Se (0.750, 0.395, 0.536)
Se (0.750, 0.984, 0.195)
Se (0.250, 0.016, 0.805)
Se (0.250, 0.516, 0.695)
Se (0.750, 0.484, 0.305)

Entry from Alexandria: a crystal of MgGeO3 relaxed with PBEsol (SCAN).

* formation energy without anion corrections: -2.360 eV per atom
* size of the total moment: 0.00 μB/cell

Lattice parameters (Å, degrees): 5.177 6.565 6.565 85.86 82.17 82.17
Element x y z (fractional)
Mg (0.250, 0.092, 0.908)
Mg (0.750, 0.908, 0.092)
Mg (0.250, 0.729, 0.271)
Mg (0.750, 0.271, 0.729)
Ge (0.211, 0.605, 0.795)
Ge (0.289, 0.205, 0.395)
Ge (0.789, 0.395, 0.205)
Ge (0.711, 0.795, 0.605)
O (0.402, 0.709, 0.569)
O (0.098, 0.431, 0.291)
O (0.598, 0.291, 0.431)
O (0.902, 0.569, 0.709)
O (0.883, 0.862, 0.373)
O (0.617, 0.627, 0.138)
O (0.117, 0.138, 0.627)
O (0.383, 0.373, 0.862)
O (0.131, 0.794, 0.975)
O (0.369, 0.025, 0.206)
O (0.869, 0.206, 0.025)
O (0.631, 0.975, 0.794)

Entry from Alexandria: a crystal of TaFe2Te relaxed with PBEsol (SCAN).

* formation energy without anion corrections: 0.243 eV per atom
* size of the total moment: 2.88 μB/cell

Lattice parameters (Å, degrees): 3.303 4.185 4.185 90.00 90.00 90.00
Each line ends with the local moment (μB).
Element x y z (fractional)
Fe (0.000, 0.000, 0.500)  1.70
Fe (0.000, 0.500, 0.000)  1.70
Ta (0.500, 0.500, 0.500)  -0.31
Te (0.500, 0.000, 0.000)  -0.01

Entry from Alexandria: a crystal of ScGa5Co relaxed with PBEsol (SCAN).

* size of the total moment: 0.00 μB/cell
* formation energy: -0.497 eV/atom

Lattice parameters (Å, degrees): 4.073 4.073 6.529 90.00 90.00 90.00
Element x y z (fractional)
Sc (0.000, 0.000, 0.000)
Ga (0.000, 0.500, 0.303)
Ga (0.000, 0.500, 0.697)
Ga (0.500, 0.000, 0.303)
Ga (0.500, 0.000, 0.697)
Ga (0.500, 0.500, 0.000)
Co (0.000, 0.000, 0.500)